The following is a DFT calculation (GGA-PBE) of an optimized crystal structure of Zn2Sn3.

Results
E ... -28.0 eV/cell
DFT formation energy ... 2.48 kcal/mol of atoms

Cell lengths 7.5356, 7.5356, 6.6117 Å; angles 55.26, 55.26, 60.00 degrees
With the nearest neighbours (Å) after each atom.
Sites, in units of the cell vectors:
1 Zn 0.8380 0.8380 0.4859  1 Zn 2.63, 6 Sn 2.73-2.91
2 Zn 0.6620 0.6620 0.0141  1 Zn 2.63, 6 Sn 2.73-2.91
3 Zn 0.3380 0.3380 0.9859  1 Zn 2.63, 6 Sn 2.73-2.91
4 Zn 0.1620 0.1620 0.5141  1 Zn 2.63, 6 Sn 2.73-2.91
5 Sn 0.0951 0.7500 0.7500  4 Zn 2.73-2.91
6 Sn 0.7500 0.4049 0.7500  4 Zn 2.73-2.91
7 Sn 0.2500 0.5951 0.2500  4 Zn 2.73-2.91
8 Sn 0.5951 0.9049 0.2500  4 Zn 2.73-2.91
9 Sn 0.9049 0.2500 0.2500  4 Zn 2.73-2.91
10 Sn 0.4049 0.0951 0.7500  4 Zn 2.73-2.91

The following is a DFT calculation (GGA-PBE) of an optimized crystal structure of Ag5Se2Br.

Results
E ... -46.8 eV/cell

Cell lengths 4.6232, 7.3040, 12.5770 Å; angles 90.00, 90.00, 108.45 degrees
With the nearest neighbours (Å) after each atom.
Sites, in units of the cell vectors:
1 Ag 0.9297 0.8594 0.8818  2 Se 2.64-2.75, 2 Br 2.84
2 Ag 0.7170 0.4340 0.9297  3 Se 2.64-2.91
3 Ag 0.9297 0.8594 0.6182  2 Se 2.64-2.75, 2 Br 2.84
4 Ag 0.2830 0.5660 0.0703  3 Se 2.64-2.91
5 Ag 0.0703 0.1406 0.1182  2 Se 2.64-2.75, 2 Br 2.84
6 Ag 0.0703 0.1406 0.3818  2 Se 2.64-2.75, 2 Br 2.84
7 Ag 0.2830 0.5660 0.4297  3 Se 2.64-2.91
8 Ag 0.7170 0.4340 0.5703  3 Se 2.64-2.91
9 Ag 0.2401 0.4803 0.7500  2 Se 2.63, 1 Br 2.67
10 Ag 0.7599 0.5197 0.2500  2 Se 2.63, 1 Br 2.67
11 Br 0.5669 0.1338 0.2500  5 Ag 2.67-2.84
12 Br 0.4331 0.8662 0.7500  5 Ag 2.67-2.84
13 Se 0.1258 0.2517 0.9173  6 Ag 2.63-2.91
14 Se 0.8742 0.7483 0.0827  6 Ag 2.63-2.91
15 Se 0.8742 0.7483 0.4173  6 Ag 2.63-2.91
16 Se 0.1258 0.2517 0.5827  6 Ag 2.63-2.91

The following is a DFT calculation (GGA-PBE) of an optimized crystal structure of Np4PaP5.

Results
E ... -97.9 eV/cell
DFT formation energy ... -22.12 kcal/mol of atoms

Cell lengths 5.6127, 6.8704, 6.8704 Å; angles 80.40, 65.89, 65.89 degrees
With the nearest neighbours (Å) after each atom.
Sites, in units of the cell vectors:
1 Np 0.6014 0.5999 0.1994  6 P 2.80-2.81
2 Np 0.2012 0.1994 0.4001  6 P 2.80-2.81
3 Np 0.4007 0.4001 0.8006  6 P 2.80-2.81
4 Np 0.8008 0.8006 0.5999  6 P 2.80-2.81
5 P 0.3018 0.7993 0.5991  5 Np 2.80-2.81, 1 Pa 2.81
6 P 0.9010 0.4009 0.7993  5 Np 2.80-2.81, 1 Pa 2.81
7 P 0.7002 0.2007 0.4009  5 Np 2.80-2.81, 1 Pa 2.81
8 P 0.5010 0.0000 0.0000  4 Np 2.80, 2 Pa 2.81
9 P 0.1011 0.5991 0.2007  5 Np 2.80-2.81, 1 Pa 2.81
10 Pa 0.0011 0.0000 0.0000  6 P 2.81

The following is a DFT calculation (GGA-PBE) of an optimized crystal structure of PPb2Cl2O4.

Results
E ... -46.2 eV/cell

Cell lengths 5.9391, 5.9391, 5.9391 Å; angles 91.13, 119.35, 119.35 degrees
With the nearest neighbours (Å) after each atom.
Sites, in units of the cell vectors:
1 O 0.0000 0.1905 0.8095  1 P 1.62
2 O 0.6189 0.8095 0.8095  1 P 1.62
3 O 0.0000 0.8095 0.1905  1 P 1.62
4 O 0.3811 0.1905 0.1905  1 P 1.62
5 P 0.0000 0.0000 0.0000  4 O 1.62
6 Pb 0.5000 0.7500 0.2500  8 O 3.01, 4 Cl 3.03
7 Pb 0.5000 0.2500 0.7500  8 O 3.01, 4 Cl 3.03
8 Cl 0.0000 0.3030 0.3030  1 P 2.52
9 Cl 0.0000 0.6970 0.6970  1 P 2.52

The following is a DFT calculation (GGA-PBE) of an optimized crystal structure of AlPdO2.

Results
E ... -25.7 eV/cell

Cell lengths 2.8095, 2.8095, 6.2825 Å; angles 90.00, 90.00, 120.00 degrees
With the nearest neighbours (Å) after each atom.
Sites, in units of the cell vectors:
1 O 0.0000 0.0000 0.6742  3 Al 1.96, 1 Pd 2.05, 1 O 2.19
2 O 0.0000 0.0000 0.3258  3 Al 1.96, 1 Pd 2.05, 1 O 2.19
3 Pd 0.0000 0.0000 0.0000  2 O 2.05
4 Al 0.6667 0.3333 0.5000  6 O 1.96

The following is a DFT calculation (GGA-PBE) of an optimized crystal structure of NdSm3Hg2.

Results
Distance to the lowest polymorph of the same formula ... 0.00 eV per formula unit
E ... -43.1 eV/cell
DFT formation energy ... -7.70 kcal/mol of atoms

Cell lengths 5.2276, 7.2245, 9.5167 Å; angles 90.00, 90.00, 90.00 degrees
With the nearest neighbours (Å) after each atom.
Sites, in units of the cell vectors:
1 Sm 0.0000 0.3303 0.3249  4 Hg 3.13-3.18
2 Sm 0.5000 0.1703 0.8273  4 Hg 3.09-3.18
3 Sm 0.5000 0.6703 0.1727  4 Hg 3.09-3.18
4 Sm 0.0000 0.4860 0.9432  3 Hg 3.23-3.30, 1 Sm 3.56
5 Sm 0.0000 0.8303 0.6751  4 Hg 3.13-3.18
6 Sm 0.0000 0.9860 0.0568  3 Hg 3.23-3.30, 1 Sm 3.56
7 Hg 0.0000 0.2620 0.6495  5 Sm 3.13-3.23, 2 Nd 3.31
8 Hg 0.0000 0.7620 0.3505  5 Sm 3.13-3.23, 2 Nd 3.31
9 Hg 0.5000 0.2375 0.1478  6 Sm 3.09-3.30, 1 Nd 3.24
10 Hg 0.5000 0.7375 0.8522  6 Sm 3.09-3.30, 1 Nd 3.24
11 Nd 0.5000 0.0140 0.4432  3 Hg 3.24-3.31, 1 Sm 3.58
12 Nd 0.5000 0.5140 0.5568  3 Hg 3.24-3.31, 1 Sm 3.58

The following is a DFT calculation (GGA-PBE) of an optimized crystal structure of YTm3Cu2.

Results
Distance to the lowest polymorph of the same formula ... 0.00 eV per formula unit
E ... -58.4 eV/cell
DFT formation energy ... -4.31 kcal/mol of atoms

Cell lengths 4.8392, 6.8875, 8.5788 Å; angles 90.00, 90.00, 90.00 degrees
With the nearest neighbours (Å) after each atom.
Sites, in units of the cell vectors:
1 Y 0.5000 0.5165 0.5754  3 Cu 2.84-3.08
2 Y 0.5000 0.0165 0.4246  3 Cu 2.84-3.08
3 Tm 0.0000 0.4821 0.9246  3 Cu 2.82-3.09
4 Tm 0.0000 0.8568 0.6700  4 Cu 2.75-2.98
5 Tm 0.0000 0.3568 0.3300  4 Cu 2.75-2.98
6 Tm 0.5000 0.6440 0.1654  4 Cu 2.75-2.99
7 Tm 0.0000 0.9821 0.0754  3 Cu 2.82-3.09
8 Tm 0.5000 0.1440 0.8346  4 Cu 2.75-2.99
9 Cu 0.0000 0.7550 0.3492  5 Tm 2.75-2.99
10 Cu 0.5000 0.2456 0.1487  4 Tm 2.75-2.98, 1 Y 2.84
11 Cu 0.5000 0.7456 0.8513  4 Tm 2.75-2.98, 1 Y 2.84
12 Cu 0.0000 0.2550 0.6508  5 Tm 2.75-2.99

The following is a DFT calculation (GGA-PBE) of an optimized crystal structure of Zn2CdRe.

Results
E ... -14.4 eV/cell
DFT formation energy ... 8.91 kcal/mol of atoms

Cell lengths 2.7284, 4.2448, 5.5882 Å; angles 90.00, 90.00, 90.00 degrees
With the nearest neighbours (Å) after each atom.
Sites, in units of the cell vectors:
1 Re 0.5000 0.5000 0.7763  6 Zn 2.65-2.94, 2 Re 2.73, 4 Cd 2.97
2 Zn 0.0000 0.0000 0.9764  2 Cd 2.68-2.91, 6 Zn 2.73-2.95, 4 Re 2.76
3 Zn 0.5000 0.5000 0.2508  2 Re 2.65-2.94, 6 Zn 2.73-2.95, 4 Cd 2.87
4 Cd 0.0000 0.0000 0.4965  6 Zn 2.68-2.91, 2 Cd 2.73, 4 Re 2.97

Please write out number 8 again, unchanged.
The following is a DFT calculation (GGA-PBE) of an optimized crystal structure of Zn2CdRe.

Results
E ... -14.4 eV/cell
DFT formation energy ... 8.91 kcal/mol of atoms

Cell lengths 2.7284, 4.2448, 5.5882 Å; angles 90.00, 90.00, 90.00 degrees
With the nearest neighbours (Å) after each atom.
Sites, in units of the cell vectors:
1 Re 0.5000 0.5000 0.7763  6 Zn 2.65-2.94, 2 Re 2.73, 4 Cd 2.97
2 Zn 0.0000 0.0000 0.9764  2 Cd 2.68-2.91, 6 Zn 2.73-2.95, 4 Re 2.76
3 Zn 0.5000 0.5000 0.2508  2 Re 2.65-2.94, 6 Zn 2.73-2.95, 4 Cd 2.87
4 Cd 0.0000 0.0000 0.4965  6 Zn 2.68-2.91, 2 Cd 2.73, 4 Re 2.97

What did the eighth record say?
The following is a DFT calculation (GGA-PBE) of an optimized crystal structure of Zn2CdRe.

Results
E ... -14.4 eV/cell
DFT formation energy ... 8.91 kcal/mol of atoms

Cell lengths 2.7284, 4.2448, 5.5882 Å; angles 90.00, 90.00, 90.00 degrees
With the nearest neighbours (Å) after each atom.
Sites, in units of the cell vectors:
1 Re 0.5000 0.5000 0.7763  6 Zn 2.65-2.94, 2 Re 2.73, 4 Cd 2.97
2 Zn 0.0000 0.0000 0.9764  2 Cd 2.68-2.91, 6 Zn 2.73-2.95, 4 Re 2.76
3 Zn 0.5000 0.5000 0.2508  2 Re 2.65-2.94, 6 Zn 2.73-2.95, 4 Cd 2.87
4 Cd 0.0000 0.0000 0.4965  6 Zn 2.68-2.91, 2 Cd 2.73, 4 Re 2.97

Q: Which value of E does entry 4 give?
A: -46.2 eV/cell

Q: Which of these has the highest E?
A: Zn2CdRe